1.
FeAsOF2 | SCAN | single point on PBEsol structure

Formation energy without anion corrections   -721 meV per atom
Magnetization   3.302 μB/cell
Mass density   4.422 g/cm3

Cell lengths 4.1971, 4.1971, 3.9384 Å; angles 90.00, 90.00, 90.00 degrees
With the nearest neighbours (Å) after each atom.
Element x y z (fractional)
Fe 0.0000 0.0000 0.0000  8 F 2.88, 4 O 2.97
As 0.5000 0.5000 0.5000  2 O 1.97, 4 F 2.10
O 0.5000 0.5000 0.0000  2 As 1.97
F 0.0000 0.5000 0.5000  2 As 2.10
F 0.5000 0.0000 0.5000  2 As 2.10


2.
GaAsF2 | SCAN | single point on PBEsol structure

Formation energy without anion corrections   -557 meV per atom
E above lowest polymorph   0.478 eV per atom
Magnetization   1.013 μB/cell
Mass density   5.487 g/cm3

Cell lengths 4.2758, 4.2758, 4.2758 Å; angles 60.00, 60.00, 60.00 degrees
With the nearest neighbours (Å) after each atom.
Element x y z (fractional)
Ga 0.0000 0.0000 0.0000  8 F 2.62
As 0.5000 0.5000 0.5000  8 F 2.62
F 0.2500 0.2500 0.2500  4 As 2.62, 4 Ga 2.62
F 0.7500 0.7500 0.7500  4 As 2.62, 4 Ga 2.62


3.
GaAsF2 | SCAN | single point on PBEsol structure

Formation energy without anion corrections   -1035 meV per atom
E above lowest polymorph   0.000 eV per atom
Magnetization   0.000 μB/cell
Mass density   4.998 g/cm3

Cell lengths 5.4967, 5.4967, 5.4967 Å; angles 102.63, 102.63, 124.25 degrees
With the nearest neighbours (Å) after each atom.
Element x y z (fractional)
Ga 0.0000 0.0000 0.0000  4 F 2.01
Ga 0.7500 0.2500 0.5000  4 F 2.01
As 0.2500 0.7500 0.5000  2 Ga 2.57, 4 F 2.71
As 0.5000 0.5000 0.0000  2 Ga 2.57, 4 F 2.71
F 0.3750 0.2460 0.3710  2 Ga 2.01
F 0.7540 0.1250 0.1290  2 Ga 2.01
F 0.8750 0.0040 0.6290  2 Ga 2.01
F 0.9960 0.6250 0.8710  2 Ga 2.01


4.
GaAs3F | SCAN | single point on PBEsol structure

Formation energy without anion corrections   434 meV per atom
Magnetization   0.000 μB/cell
Mass density   5.540 g/cm3

Cell lengths 4.5464, 4.5464, 4.5464 Å; angles 90.00, 90.00, 90.00 degrees
With the nearest neighbours (Å) after each atom.
Element x y z (fractional)
Ga 0.0000 0.0000 0.0000  12 As 3.21
As 0.0000 0.5000 0.5000  2 F 2.27
As 0.5000 0.0000 0.5000  2 F 2.27
As 0.5000 0.5000 0.0000  2 F 2.27
F 0.5000 0.5000 0.5000  6 As 2.27